#1
GaNi2Te after structural relaxation, computed with PBE.

a = 4.2408 Å, b = 4.2408 Å, c = 15.6012 Å
α = 90.00°, β = 90.00°, γ = 90.00°
Closest atoms and distances in Å follow each position.
Space group I-42d (No. 122)
One atom of each set of equivalent atoms:
1 Ga 0.0000 0.0000 0.0000 x4  4 Ni 2.43
2 Ni 0.2331 0.2500 0.1250 x8  2 Ga 2.43, 2 Te 2.49
3 Te 0.0000 0.0000 0.5000 x4  4 Ni 2.49

Properties
M_tot = 0.00 μB/cell

=====

#2
GaNi2Te after structural relaxation, computed with PBE.

a = 6.2658 Å, b = 6.2658 Å, c = 6.2658 Å
α = 90.00°, β = 90.00°, γ = 90.00°
Closest atoms and distances in Å follow each position.
Space group Fm-3m (No. 225)
One atom of each set of equivalent atoms:
1 Ga 0.0000 0.0000 0.0000 x4  8 Ni 2.71
2 Ni 0.2500 0.2500 0.2500 x8  4 Ga 2.71, 4 Te 2.71
3 Te 0.0000 0.0000 0.5000 x4  8 Ni 2.71

Properties
M_tot = 0.00 μB/cell

=====

The most stable of them is #1.

=====

#1
ThGa4Ni4 after structural relaxation, computed with PBE.

a = 8.1251 Å, b = 8.1251 Å, c = 4.5466 Å
α = 90.00°, β = 90.00°, γ = 90.00°
Closest atoms and distances in Å follow each position.
Space group I4/m (No. 87)
One atom of each set of equivalent atoms:
1 Th 0.0000 0.0000 0.0000 x2  4 Ni 2.82
2 Ga 0.1002 0.6251 0.5000 x8  5 Ni 2.31-2.57
3 Ni 0.1750 0.7000 0.0000 x8  5 Ga 2.31-2.57

Properties
M_tot = 0.00 μB/cell

=====

#2
ThGa4Ni4 after structural relaxation, computed with PBE.

a = 5.7211 Å, b = 5.7211 Å, c = 8.4674 Å
α = 90.00°, β = 90.00°, γ = 90.00°
Closest atoms and distances in Å follow each position.
Space group P4_2/nmc (No. 137, origin choice 2)
One atom of each set of equivalent atoms:
1 Th 0.2500 0.7500 0.2500 x2  4 Ga 3.11, 8 Ni 3.23
2 Ga 0.0329 0.2500 0.0638 x8  5 Ni 2.40-2.53, 1 Ga 2.48
3 Ni 0.0317 0.2500 0.3491 x8  5 Ga 2.40-2.53, 1 Ni 2.50

Properties
M_tot = 0.00 μB/cell

=====

The most stable of them is #2.